No. 1
Here is an optimized crystal structure of Tl2InBi from Alexandria. Energies are from PBE.

The structure belongs to space group Cm (No. 8); the cell edges are 8.686, 4.990 and 7.032 Å and the angles 90.00°, 114.44° and 90.00°. The asymmetric unit holds Tl at (0.000, 0.000, 0.000), Tl at (0.231, 0.000, 0.696), In at (0.414, 0.000, 0.244) and Bi at (0.313, 0.500, 0.442).

Its size of the total moment is 0.00 μB/atom. For the energy above the lowest structure with this stoichiometry, the calculation gives 0.175 eV per formula unit. Its formation energy is 0.0357 eV/atom. Its volume is 34.69 Å³/atom.

---

No. 2
Here is an optimized crystal structure of YMg2Ga6 from Alexandria. Energies are from PBE.

The structure belongs to space group P6/mmm (No. 191); the cell edges are 7.7835, 7.7835 and 3.3302 Å and the angles 90.00°, 90.00° and 120.00°. The asymmetric unit holds Y at (0.0000, 0.0000, 0.0000), Mg at (0.3333, 0.6667, 0.0000) and Ga at (0.0000, 0.3373, 0.5000).

Its size of the total moment is 0.00 μB/atom. Its formation energy is -0.2682 eV/atom. Its volume is 19.41 Å³/atom.

---

No. 3
Here is an optimized crystal structure of Ba2Li2Au3 from Alexandria. Energies are from PBE.

The structure belongs to space group Cmcm (No. 63); the cell edges are 4.567, 20.687 and 8.067 Å and the angles 90.00°, 90.00° and 90.00°. The asymmetric unit holds Ba at (0.000, 0.054, 0.250), Ba at (0.000, 0.157, 0.750), Li at (0.000, 0.308, 0.563), Au at (0.000, 0.221, 0.250) and Au at (0.000, 0.435, 0.064).

Its size of the total moment is 0.00 μB/atom. Its formation energy is -0.5953 eV/atom. Its volume is 27.22 Å³/atom.

---

> What is the formula in the third record?

Ba2Li2Au3

---

> Which formula does entry 2 have?

YMg2Ga6

---

> Among the records above, which one has the lowest volume?

YMg2Ga6

---

> Which formula does entry 3 have?

Ba2Li2Au3